First-principles (PBE) data for an optimized crystal structure of Pm9TmAl2, as listed in Alexandria.

The structure in CIF format:
```
data_Pm9TmAl2
_cell_length_a 4.918
_cell_length_b 4.918
_cell_length_c 15.028
_cell_angle_alpha 90.00
_cell_angle_beta 90.00
_cell_angle_gamma 90.00
_space_group_name_H-M_alt 'P 1'
_space_group_IT_number 1
loop_
_space_group_symop_operation_xyz
'x,y,z'
loop_
_atom_site_label
_atom_site_type_symbol
_atom_site_fract_x
_atom_site_fract_y
_atom_site_fract_z
_atom_site_occupancy
Pm1 Pm 0.000 0.000 0.000 1
Pm2 Pm 0.000 0.000 0.339 1
Pm3 Pm 0.000 0.000 0.661 1
Pm4 Pm 0.000 0.500 0.176 1
Pm5 Pm 0.000 0.500 0.500 1
Pm6 Pm 0.000 0.500 0.824 1
Pm7 Pm 0.500 0.000 0.176 1
Pm8 Pm 0.500 0.000 0.500 1
Pm9 Pm 0.500 0.000 0.824 1
Tm1 Tm 0.500 0.500 0.000 1
Al1 Al 0.500 0.500 0.340 1
Al2 Al 0.500 0.500 0.660 1
```

E	-55.92	eV for the cell shown
formation energy	-116	kJ/mol of formula units
theoretical density	6.98	Mg/m³